Record 1
{"formula": "Mn2TlAgBr8", "functional": "GGA-PBE", "state": "relaxed", "e_tot_ev_per_atom": -3.658, "total_magnetization_mub_per_cell": 8.0, "volume_a3_per_fu": 395.4, "n_ef_per_ev_cell": 7.810, "formation_energy_uncorrected_ev_per_atom": -0.58, "cell": [[6.946, 0.000, 0.000], [-3.473, 6.016, 0.000], [0.000, 0.000, 9.463]], "species": ["Br", "Mn", "Br", "Ag", "Br", "Tl", "Br", "Mn", "Br", "Br", "Br", "Br"], "frac_coords": [[0.678, 0.687, 0.681], [0.667, 0.333, 0.252], [0.322, 0.313, 0.319], [0.000, 0.000, 0.500], [0.667, 0.333, 0.002], [0.000, 0.000, 0.000], [0.333, 0.667, 0.998], [0.333, 0.667, 0.748], [0.687, 0.010, 0.319], [0.010, 0.322, 0.681], [0.990, 0.678, 0.319], [0.313, 0.990, 0.681]]}



Record 2
{"formula": "CeCd3", "functional": "GGA-PBE", "state": "relaxed", "e_tot_ev_per_atom": -1.935, "total_magnetization_mub_per_cell": 1.8, "volume_a3_per_fu": 117.9, "formation_enthalpy_0k_mev_per_atom": 235, "n_ef_per_ev_cell": 11.002, "cell": [[-4.166, 0.641, -1.142], [-1.279, -2.806, 3.092], [2.326, 5.731, 3.078]], "species": ["Cd", "Cd", "Cd", "Ce"], "frac_coords": [[0.272, 0.272, 0.545], [0.728, 0.728, 0.455], [0.500, 0.500, 0.000], [0.000, 0.000, 0.000]]}